First-principles (PBE) data for crystalline NdPu2As3 at its relaxed geometry, as listed in Alexandria via LeMat-Bulk.

Cell lengths 4.183, 5.912, 7.235 Å; angles 114.12, 106.81, 90.00 degrees
Last column: magnetic moment on the atom in μB.
Fractional positions:
As: 0.500 0.000 0.500  -0.12
As: 0.174 0.674 0.848  -0.12
As: 0.826 0.326 0.152  -0.12
Pu: 0.835 0.835 0.170  5.00
Pu: 0.165 0.165 0.830  5.00
Nd: 0.500 0.500 0.500  0.01

Calculated formation energy, eV per atom: -1.18



First-principles (PBE) data for crystalline SbTeRu2 at its relaxed geometry, as listed in Alexandria via LeMat-Bulk.

Cell lengths 5.096, 5.096, 4.614 Å; angles 79.02, 79.02, 38.72 degrees
Fractional positions:
Ru: 0.767 0.767 0.687
Ru: 0.982 0.982 0.078
Sb: 0.497 0.497 0.578
Te: 0.253 0.253 0.157

Formation energy (no corrections), meV per atom: 168



First-principles (PBE) data for crystalline BiIrOs2 at its relaxed geometry, as listed in Alexandria via LeMat-Bulk.

Cell lengths 5.944, 5.944, 7.061 Å; angles 65.11, 65.11, 90.00 degrees
Fractional positions:
Os: 0.171 0.625 0.250
Os: 0.375 0.421 0.750
Os: 0.875 0.829 0.750
Os: 0.579 0.125 0.250
Bi: 0.750 0.250 0.500
Bi: 0.000 0.000 0.000
Ir: 0.250 0.750 0.500
Ir: 0.500 0.500 0.000

Calculated formation energy, eV per atom: 1.27



First-principles (PBE) data for crystalline Ni3RuC at its relaxed geometry, as listed in Alexandria via LeMat-Bulk.

Cell lengths 3.782, 3.782, 3.782 Å; angles 90.00, 90.00, 90.00 degrees
Fractional positions:
Ni: 0.000 0.000 0.500
Ni: 0.500 0.000 0.000
Ni: 0.000 0.500 0.000
C: 0.000 0.000 0.000
Ru: 0.500 0.500 0.500

Calculated formation energy, eV per atom: 0.42
Relative energy among the computed polymorphs, meV/atom: 0.0



First-principles (PBE) data for crystalline Ac6Co2AgBr3 at its relaxed geometry, as listed in Alexandria via LeMat-Bulk.

Cell lengths 4.335, 9.740, 10.561 Å; angles 110.24, 101.84, 90.00 degrees
Fractional positions:
Ac: 0.978 0.753 0.955
Ac: 0.318 0.450 0.635
Ac: 0.335 0.867 0.670
Ac: 0.665 0.133 0.330
Ac: 0.022 0.247 0.045
Ac: 0.682 0.550 0.365
Br: 0.500 0.500 0.000
Br: 0.835 0.165 0.671
Br: 0.165 0.835 0.329
Co: 0.168 0.336 0.336
Co: 0.832 0.664 0.664
Ag: 0.500 0.000 0.000

Formation energy (no corrections), meV per atom: -741



First-principles (PBE) data for crystalline PW3 at its relaxed geometry, as listed in Alexandria via LeMat-Bulk.

Cell lengths 3.935, 3.935, 3.935 Å; angles 90.00, 90.00, 90.00 degrees
Fractional positions:
P: 0.000 0.000 0.000
W: 0.000 0.500 0.500
W: 0.500 0.000 0.500
W: 0.500 0.500 0.000

Calculated formation energy, eV per atom: 0.52
Relative energy among the computed polymorphs, meV/atom: 652.8



What are the magnetization values for these records? In order: 9.94; 0.00; 0.00; 0.00; 0.00; 0.00 μB/f.u..